# 1
The following is a DFT calculation (PBE-GGA) of a relaxed structure of La8PrIn2.

Cell lengths 17.8597, 6.9678, 6.3279 Å; angles 90.00, 103.74, 90.00 degrees
Last column: nearest neighbours and their distance in Å.
Space group C2/m (No. 12)
Inequivalent atoms, fractional coordinates:
La1 0.0019 0.0000 0.2385 [4 per cell]  2 La 3.00-3.33
La2 0.1321 0.5000 0.0726 [4 per cell]  3 In 3.58-3.80, 6 La 3.71-3.93, 2 Pr 3.83-3.99
La3 0.1741 0.2338 0.6071 [8 per cell]  2 La 3.26-3.32, 3 In 3.38-3.60, 1 Pr 3.54
Pr1 0.0000 0.5000 0.5000 [2 per cell]  10 La 3.54-3.86
In1 0.1788 0.0000 0.1024 [4 per cell]  10 La 3.38-3.60

As for the density of states at the Fermi level: 32.7 states/eV/cell. Its polymorph energy (0 for the lowest one) is 0.010 eV/atom. The magnetic moment is 0.00 μB/f.u. The calculation puts the uncorrected energy at -102.22 eV for the cell shown. The formation energy from the elements comes out at -130 meV/atom.

# 2
The following is a DFT calculation (PBE-GGA) of a relaxed structure of Pr2PtF.

Cell lengths 4.1300, 4.1300, 23.9349 Å; angles 90.00, 90.00, 120.00 degrees
Last column: nearest neighbours and their distance in Å.
Space group R3m (No. 160, hexagonal axes)
Inequivalent atoms, fractional coordinates:
Pr1 0.0000 0.0000 0.0000 [3 per cell]  3 Pt 2.84
Pr2 0.0000 0.0000 0.1930 [3 per cell]  3 F 2.56
Pt1 0.0000 0.0000 0.6022 [3 per cell]  6 Pr 2.84-3.00
F1 0.0000 0.0000 0.8210 [3 per cell]  3 Pr 2.56

As for the density of states at the Fermi level: 14.9 states/eV/cell. The value obtained for the formation energy (no corrections) is -1.65 eV per atom. Its polymorph energy (0 for the lowest one) is 0.193 eV/atom. The magnetic moment is 0.00 μB/f.u. The calculation puts the uncorrected energy at -72.16 eV for the cell shown.